[1]
NdLuZn2Ge2 | PBE | relaxed

Output
- relative energy among the computed polymorphs (kJ per mole of atoms) = 0.0

a = 4.2579 Å, b = 4.2579 Å, c = 15.7833 Å
α = 90.00°, β = 90.00°, γ = 120.00°
Space group P6_3/mmc (No. 194)
Unique sites:
Nd (0.0000, 0.0000, 0.0000)
Lu (0.0000, 0.0000, 0.2500)
Zn (0.3333, 0.6667, 0.1553)
Ge (0.3333, 0.6667, 0.6189)

[2]
ZrBi | PBE | relaxed

Output
- total DFT energy (no corrections) (eV/f.u.) = -13.04

a = 3.921 Å, b = 11.124 Å, c = 4.726 Å
α = 90.00°, β = 90.00°, γ = 90.00°
Space group Cmcm (No. 63)
Unique sites:
Zr (0.000, 0.097, 0.250)
Bi (0.000, 0.376, 0.250)